# SbTeRuI2 (PBE-GGA, relaxed)
data_SbTeRuI2
_cell_length_a 5.3576
_cell_length_b 5.3576
_cell_length_c 5.1803
_cell_angle_alpha 90.00
_cell_angle_beta 90.00
_cell_angle_gamma 90.00
_symmetry_space_group_name_H-M 'P 4/m m m'
_symmetry_Int_Tables_number 123
_symmetry_space_group_name_Hall '-P 4 2'
loop_
_atom_site_label
_atom_site_fract_x
_atom_site_fract_y
_atom_site_fract_z
_atom_site_occupancy
Sb1 0.0000 0.0000 0.0000 1
Te1 0.5000 0.5000 0.0000 1
Ru1 0.0000 0.0000 0.5000 1
I1 0.0000 0.5000 0.5000 1
# DOS(E_F): 4.61 states/eV per cell
# Polymorph energy (0 for the lowest one): 0 meV/atom
# E_form (uncorrected): 0.455 eV/atom